# 1
# CaSn2Au

A relaxed CaSn2Au crystal (PBE-GGA, the Alexandria database).

Computed properties:
- energy of formation from the pure elements (eV per atom) = -0.33
- spin magnetization (Bohr magnetons per cell) = 0.000

Unit cell a=4.470 b=4.470 c=11.247 alpha=78.54 beta=78.54 gamma=90.00
Positions (direct):
Ca1 0.250 0.750 0.500
Ca2 0.500 0.500 0.000
Sn1 0.875 0.899 0.750
Sn2 0.101 0.625 0.250
Sn3 0.649 0.125 0.250
Sn4 0.375 0.351 0.750
Au1 0.750 0.250 0.500
Au2 0.000 0.000 0.000


# 2
# Ca2SnAu2

A relaxed Ca2SnAu2 crystal (PBE-GGA, the Alexandria database).

Computed properties:
- energy of formation from the pure elements (eV per atom) = -0.56
- spin magnetization (Bohr magnetons per cell) = 0.000

Unit cell a=3.890 b=3.890 c=9.239 alpha=77.85 beta=77.85 gamma=90.00
Positions (direct):
Au1 0.750 0.250 0.500
Au2 0.250 0.750 0.500
Sn1 0.000 0.000 0.000
Ca1 0.388 0.388 0.224
Ca2 0.612 0.612 0.776


# 3
# CaSn3Au3

A relaxed CaSn3Au3 crystal (PBE-GGA, the Alexandria database).

Computed properties:
- energy of formation from the pure elements (eV per atom) = -0.38
- spin magnetization (Bohr magnetons per cell) = 0.000

Unit cell a=4.812 b=8.662 c=9.350 alpha=120.41 beta=90.00 gamma=90.00
Positions (direct):
Sn1 0.750 0.261 0.234
Sn2 0.250 0.739 0.766
Sn3 0.750 0.977 0.722
Sn4 0.250 0.023 0.278
Sn5 0.250 0.217 0.961
Sn6 0.750 0.783 0.039
Ca1 0.250 0.651 0.326
Ca2 0.750 0.349 0.674
Au1 0.250 0.091 0.608
Au2 0.250 0.394 0.475
Au3 0.750 0.469 0.074
Au4 0.750 0.606 0.525
Au5 0.750 0.909 0.392
Au6 0.250 0.531 0.926


# 4
# Ca6Sn2Au

A relaxed Ca6Sn2Au crystal (PBE-GGA, the Alexandria database).

Computed properties:
- energy of formation from the pure elements (eV per atom) = -0.53
- spin magnetization (Bohr magnetons per cell) = 0.000

Unit cell a=6.886 b=8.546 c=10.213 alpha=90.00 beta=88.21 gamma=90.00
Positions (direct):
Ca1 0.616 0.468 0.270
Ca2 0.357 0.820 0.441
Ca3 0.643 0.180 0.559
Ca4 0.153 0.325 0.440
Ca5 0.884 0.968 0.230
Ca6 0.384 0.532 0.730
Ca7 0.116 0.032 0.770
Ca8 0.347 0.825 0.060
Ca9 0.847 0.675 0.560
Ca10 0.143 0.320 0.059
Ca11 0.653 0.175 0.940
Ca12 0.857 0.680 0.941
Sn1 0.552 0.882 0.752
Sn2 0.448 0.118 0.248
Sn3 0.948 0.382 0.748
Sn4 0.052 0.618 0.252
Au1 0.500 0.500 0.000
Au2 0.000 0.000 0.500


# 5
# Ca3Sn3Au

A relaxed Ca3Sn3Au crystal (PBE-GGA, the Alexandria database).

Computed properties:
- energy of formation from the pure elements (eV per atom) = -0.69
- spin magnetization (Bohr magnetons per cell) = 0.000

Unit cell a=4.744 b=6.140 c=14.772 alpha=84.41 beta=80.76 gamma=67.28
Positions (direct):
Sn1 0.975 0.818 0.233
Sn2 0.025 0.182 0.767
Sn3 0.137 0.265 0.461
Sn4 0.118 0.839 0.924
Sn5 0.882 0.161 0.076
Sn6 0.863 0.735 0.539
Ca1 0.597 0.727 0.079
Ca2 0.738 0.757 0.767
Ca3 0.464 0.689 0.383
Ca4 0.262 0.243 0.233
Ca5 0.536 0.311 0.617
Ca6 0.403 0.273 0.921
Au1 0.753 0.110 0.384
Au2 0.247 0.890 0.616


# 6
# Ca2SnAu2

A relaxed Ca2SnAu2 crystal (PBE-GGA, the Alexandria database).

Computed properties:
- energy of formation from the pure elements (eV per atom) = -0.57
- spin magnetization (Bohr magnetons per cell) = 0.000

Unit cell a=5.847 b=5.847 c=5.787 alpha=59.66 beta=59.66 gamma=90.00
Positions (direct):
Sn1 0.000 0.000 0.000
Au1 0.661 0.661 0.679
Au2 0.339 0.339 0.321
Ca1 0.250 0.750 0.500
Ca2 0.750 0.250 0.500


# 7
# Ca4SnAu5

A relaxed Ca4SnAu5 crystal (PBE-GGA, the Alexandria database).

Computed properties:
- energy of formation from the pure elements (eV per atom) = -0.68
- spin magnetization (Bohr magnetons per cell) = 0.000

Unit cell a=3.633 b=3.633 c=17.890 alpha=90.00 beta=90.00 gamma=90.00
Positions (direct):
Ca1 0.000 0.000 0.192
Ca2 0.000 0.000 0.399
Ca3 0.000 0.000 0.808
Ca4 0.000 0.000 0.601
Au1 0.500 0.500 0.095
Au2 0.500 0.500 0.905
Au3 0.500 0.500 0.500
Au4 0.500 0.500 0.296
Au5 0.500 0.500 0.704
Sn1 0.000 0.000 0.000


# 8
# CaSn2Au

A relaxed CaSn2Au crystal (PBE-GGA, the Alexandria database).

Computed properties:
- energy of formation from the pure elements (eV per atom) = -0.48
- spin magnetization (Bohr magnetons per cell) = 0.000

Unit cell a=4.654 b=9.753 c=10.766 alpha=116.93 beta=102.48 gamma=90.00
Positions (direct):
Sn1 0.074 0.574 0.147
Sn2 0.926 0.426 0.853
Sn3 0.300 0.645 0.600
Sn4 0.078 0.078 0.155
Sn5 0.700 0.355 0.400
Sn6 0.700 0.046 0.400
Sn7 0.922 0.922 0.845
Sn8 0.300 0.954 0.600
Ca1 0.695 0.695 0.391
Ca2 0.305 0.305 0.609
Ca3 0.500 0.266 0.000
Ca4 0.500 0.734 0.000
Au1 0.142 0.885 0.285
Au2 0.858 0.600 0.715
Au3 0.858 0.115 0.715
Au4 0.142 0.400 0.285